1.
Cs3K3Hg2 | PBE | optimized geometry

ΔE_f, eV/f.u.: -0.88
Space group: No. 63

Lattice parameters (Å, degrees): 8.137 8.137 22.724 90.00 90.00 137.09
Element x y z (fractional)
1 Cs 0.049 0.951 0.611
2 Cs 0.049 0.951 0.889
3 Cs 0.341 0.659 0.750
4 Cs 0.659 0.341 0.250
5 Cs 0.951 0.049 0.111
6 Cs 0.951 0.049 0.389
7 K 0.338 0.662 0.534
8 K 0.338 0.662 0.966
9 K 0.364 0.636 0.250
10 K 0.636 0.364 0.750
11 K 0.662 0.338 0.034
12 K 0.662 0.338 0.466
13 Hg 0.230 0.770 0.119
14 Hg 0.230 0.770 0.381
15 Hg 0.770 0.230 0.619
16 Hg 0.770 0.230 0.881



2.
Rb2U3InS8 | PBE | optimized geometry

Formation energy (no corrections), kJ/mol of atoms: -120
Space group: No. 160

Lattice parameters (Å, degrees): 9.342 9.342 9.342 51.51 51.51 51.51
Element x y z (fractional)
1 Rb 0.000 0.000 0.000
2 Rb 0.362 0.362 0.362
3 U 0.363 0.363 0.864
4 U 0.363 0.864 0.363
5 U 0.864 0.363 0.363
6 In 0.750 0.750 0.750
7 S 0.104 0.104 0.555
8 S 0.104 0.555 0.104
9 S 0.137 0.137 0.137
10 S 0.162 0.625 0.625
11 S 0.555 0.104 0.104
12 S 0.587 0.587 0.587
13 S 0.625 0.162 0.625
14 S 0.625 0.625 0.162



3.
Pm2Ni6GeH | PBE | optimized geometry

Space group: No. 12
Final energy, eV for the cell shown: -55.73

Lattice parameters (Å, degrees): 5.332 5.332 6.507 114.30 114.30 59.95
Element x y z (fractional)
1 Pm 0.222 0.222 0.166
2 Pm 0.778 0.778 0.834
3 Ni 0.226 0.226 0.665
4 Ni 0.227 0.715 0.666
5 Ni 0.285 0.773 0.334
6 Ni 0.715 0.227 0.666
7 Ni 0.773 0.285 0.334
8 Ni 0.774 0.774 0.335
9 Ge 0.500 0.500 0.000
10 H 0.000 0.000 0.500



Copy entry 2 word for word.
Rb2U3InS8 | PBE | optimized geometry

Formation energy (no corrections), kJ/mol of atoms: -120
Space group: No. 160

Lattice parameters (Å, degrees): 9.342 9.342 9.342 51.51 51.51 51.51
Element x y z (fractional)
1 Rb 0.000 0.000 0.000
2 Rb 0.362 0.362 0.362
3 U 0.363 0.363 0.864
4 U 0.363 0.864 0.363
5 U 0.864 0.363 0.363
6 In 0.750 0.750 0.750
7 S 0.104 0.104 0.555
8 S 0.104 0.555 0.104
9 S 0.137 0.137 0.137
10 S 0.162 0.625 0.625
11 S 0.555 0.104 0.104
12 S 0.587 0.587 0.587
13 S 0.625 0.162 0.625
14 S 0.625 0.625 0.162



> Number 2 is which compound?

Rb2U3InS8